Record 1
# TcW3I

A PBEsol-optimized structure of TcW3I (SCAN, the Alexandria database).

Unit cell a=4.723 b=4.723 c=4.723 alpha=90.00 beta=90.00 gamma=90.00
Sites, in units of the cell vectors:
Tc: 0.000 0.000 0.000
W: 0.000 0.000 0.500
W: 0.000 0.500 0.000
W: 0.500 0.000 0.000
I: 0.500 0.500 0.500

**Raw formation energy**: 2.339 eV per atom
**Calculated total energy**: -53.8338 eV/atom
**Density of states at the Fermi level**: 6.09 states/eV/f.u.

Record 2
# Zn3TcI

A PBEsol-optimized structure of Zn3TcI (SCAN, the Alexandria database).

Unit cell a=5.144 b=5.144 c=5.144 alpha=90.00 beta=90.00 gamma=90.00
Sites, in units of the cell vectors:
Zn: 0.000 0.000 0.500
Zn: 0.000 0.500 0.000
Zn: 0.500 0.000 0.000
Tc: 0.500 0.500 0.500
I: 0.000 0.000 0.000

**Raw formation energy**: 1.787 eV per atom
**Calculated total energy**: -20.6822 eV/atom
**Density of states at the Fermi level**: 3.53 states/eV/f.u.